No. 1
## AcHo2US8 (PBE)

Data for an optimized crystal structure of AcHo2US8.

Properties
space group	P-1 (2)
crystal system	triclinic
E_form (uncorrected)	-1525	meV/atom
ρ	5.517	g/cm3

Unit cell a=6.1275 b=5.9938 c=8.6168 alpha=89.90 beta=89.98 gamma=90.36
Element x y z (fractional)
Ac1 0.0000 0.0000 0.5000
Ho1 0.4997 0.4991 0.7635
Ho2 0.5003 0.5009 0.2365
U1 0.0000 0.0000 0.0000
S1 0.1274 0.7478 0.2192
S2 0.6517 0.7544 0.9992
S3 0.8711 0.2510 0.2186
S4 0.8726 0.2522 0.7808
S5 0.3483 0.2456 0.0008
S6 0.1289 0.7490 0.7814
S7 0.5458 0.7609 0.5000
S8 0.4542 0.2391 0.5000

No. 2
## CeZrCd2 (PBE)

Data for an optimized crystal structure of CeZrCd2.

Properties
excess energy over the best structure of this formula in the dataset	82	meV/atom
space group	P4/mmm (123)
crystal system	tetragonal
ΔE_f	-0.0525	eV/atom
ρ	7.950	g/cm3

Unit cell a=4.7591 b=4.4744 c=4.4744 alpha=90.00 beta=90.00 gamma=90.00
Each line ends with the local moment (μB).
Element x y z (fractional)
Zr1 0.5000 0.0000 0.0000  0.21
Ce1 0.5000 0.5000 0.5000  0.55
Cd1 0.0000 0.0000 0.5000  0.00
Cd2 0.0000 0.5000 0.0000  0.00

No. 3
## KLi2Hg10 (PBE)

Data for an optimized crystal structure of KLi2Hg10.

Properties
space group	Fmmm (69)
crystal system	orthorhombic
ΔE_f	-0.1727	eV/atom
ρ	10.143	g/cm3

Unit cell a=6.1236 b=8.6593 c=7.4536 alpha=81.65 beta=65.75 gamma=69.29
Element x y z (fractional)
K1 0.0000 0.0000 0.0000
Li1 0.0000 0.5000 0.0000
Li2 0.5000 0.5000 0.0000
Hg1 0.3354 0.6458 0.6834
Hg2 0.6646 0.3542 0.3166
Hg3 0.9812 0.3542 0.6834
Hg4 0.0188 0.6458 0.3166
Hg5 0.0000 0.0000 0.5000
Hg6 0.5000 0.0000 0.5000
Hg7 0.2650 0.2468 0.2232
Hg8 0.7350 0.7532 0.7768
Hg9 0.5118 0.7532 0.2232
Hg10 0.4882 0.2468 0.7768

No. 4
## NaLi3Tl3 (PBE)

Data for an optimized crystal structure of NaLi3Tl3.

Properties
excess energy over the best structure of this formula in the dataset	293	meV/atom
space group	Pm-3n (223)
crystal system	cubic
ΔE_f	0.1529	eV/atom
ρ	5.143	g/cm3

Unit cell a=7.5137 b=7.5137 c=7.5137 alpha=90.00 beta=90.00 gamma=90.00
Element x y z (fractional)
Na1 0.5000 0.5000 0.5000
Na2 0.0000 0.0000 0.0000
Tl1 0.2500 0.0000 0.5000
Tl2 0.0000 0.5000 0.2500
Tl3 0.5000 0.7500 0.0000
Tl4 0.7500 0.0000 0.5000
Tl5 0.0000 0.5000 0.7500
Tl6 0.5000 0.2500 0.0000
Li1 0.0000 0.2500 0.5000
Li2 0.0000 0.7500 0.5000
Li3 0.5000 0.0000 0.7500
Li4 0.7500 0.5000 0.0000
Li5 0.5000 0.0000 0.2500
Li6 0.2500 0.5000 0.0000

No. 5
## Tb12Tl6Os (PBE)

Data for an optimized crystal structure of Tb12Tl6Os.

Properties
space group	R-3 (148)
crystal system	trigonal
ΔE_f	-0.1455	eV/atom
ρ	9.472	g/cm3

Unit cell a=8.3720 b=8.3720 c=8.3720 alpha=93.85 beta=93.85 gamma=93.85
Element x y z (fractional)
Tb1 0.7955 0.5731 0.4533
Tb2 0.4533 0.7955 0.5731
Tb3 0.5731 0.4533 0.7955
Tb4 0.2045 0.4269 0.5467
Tb5 0.5467 0.2045 0.4269
Tb6 0.4269 0.5467 0.2045
Tb7 0.9720 0.0898 0.3134
Tb8 0.9102 0.6866 0.0280
Tb9 0.6866 0.0280 0.9102
Tb10 0.0280 0.9102 0.6866
Tb11 0.0898 0.3134 0.9720
Tb12 0.3134 0.9720 0.0898
Tl1 0.6515 0.8655 0.2725
Tl2 0.7275 0.3485 0.1345
Tl3 0.1345 0.7275 0.3485
Tl4 0.3485 0.1345 0.7275
Tl5 0.2725 0.6515 0.8655
Tl6 0.8655 0.2725 0.6515
Os1 0.0000 0.0000 0.0000

No. 6
## Fe4Ni2Rh5 (PBE)

Data for an optimized crystal structure of Fe4Ni2Rh5.

Properties
space group	C2/m (12)
crystal system	monoclinic
ΔE_f	0.0814	eV/atom
ρ	9.702	g/cm3

Unit cell a=2.6746 b=6.2097 c=8.9654 alpha=96.10 beta=98.56 gamma=90.01
Each line ends with the local moment (μB).
Element x y z (fractional)
Fe1 0.2742 0.1774 0.5483  2.81
Fe2 0.9598 0.6477 0.9195  2.86
Fe3 0.7258 0.8226 0.4517  2.81
Fe4 0.0402 0.3523 0.0805  2.86
Ni1 0.4148 0.3142 0.8297  0.73
Ni2 0.5852 0.6858 0.1703  0.73
Rh1 0.8176 0.5262 0.6351  0.40
Rh2 0.1824 0.4738 0.3649  0.40
Rh3 0.8666 0.9545 0.7331  0.49
Rh4 0.5000 0.0000 0.0000  0.40
Rh5 0.1334 0.0455 0.2669  0.49

| no. | raw total energy (eV/atom) |
| --- | --- |
| 1 | -6.32 |
| 2 | -4.13 |
| 3 | -0.78 |
| 4 | -1.87 |
| 5 | -4.41 |
| 6 | -7.39 |